An optimized crystal structure of Hg2OsBr. Source: Alexandria via LeMat-Bulk, functional PBE.

Summary:
Density of states at the Fermi level (states/eV/cell): 18.1
E_form (uncorrected) (eV/atom): 1.23
Polymorph energy (0 for the lowest one) (meV/atom): 652
Total moment (μB per atom): 0.272

a b c (Å): 6.912 6.912 6.912
angles (deg): 90.00 90.00 90.00
Space group F-43m (No. 216)
Asymmetric unit:
Hg  0.000  0.000  0.000 [4 per cell]
Hg  0.250  0.250  0.250 [4 per cell]
Os  0.000  0.000  0.500 [4 per cell]
Br  0.250  0.250  0.750 [4 per cell]